Density functional theory data (PBE) for a relaxed structure of La4Nd3Hg2.

Fermi-level density of states = 24.5 states/eV per cell
Calculated total energy = -71.8 eV/cell

```
La4Nd3Hg2
1.0
8.338 -5.775 0.000
8.338 5.775 0.000
-0.501 0.000 6.155
La Nd Hg
8 6 4
direct
0.112 0.802 0.977
0.176 0.418 0.096
0.198 0.888 0.523
0.418 0.176 0.596
0.582 0.824 0.404
0.802 0.112 0.477
0.824 0.582 0.904
0.888 0.198 0.023
0.060 0.278 0.560
0.278 0.060 0.060
0.440 0.560 0.250
0.560 0.440 0.750
0.722 0.940 0.940
0.940 0.722 0.440
0.230 0.523 0.628
0.477 0.770 0.872
0.523 0.230 0.128
0.770 0.477 0.372
```